[1]
DFT (PBE) results for crystalline BaSrAu2 at its relaxed geometry.

a = 7.590 Å, b = 7.590 Å, c = 7.590 Å
α = 90.00°, β = 90.00°, γ = 90.00°
Space group F-43m (No. 216)
Asymmetric unit:
1 Ba 0.000 0.000 0.000 x4
2 Sr 0.250 0.250 0.250 x4
3 Au 0.000 0.000 0.500 x4
4 Au 0.250 0.250 0.750 x4

Properties
For the energy relative to the lowest polymorph listed for this composition, the calculation gives 0.371 eV/atom. For the energy, the calculation gives -2.9023 eV/atom. The energy of formation from the pure elements is -0.36 eV/atom.



[2]
DFT (PBE) results for crystalline BaSrAu10 at its relaxed geometry.

a = 4.605 Å, b = 5.834 Å, c = 10.066 Å
α = 90.00°, β = 90.00°, γ = 90.00°
Space group Pmmm (No. 47)
Asymmetric unit:
1 Ba 0.000 0.000 0.000 x1
2 Sr 0.000 0.500 0.500 x1
3 Au 0.000 0.000 0.338 x2
4 Au 0.000 0.500 0.173 x2
5 Au 0.500 0.000 0.500 x1
6 Au 0.500 0.251 0.253 x4
7 Au 0.500 0.500 0.000 x1

Properties
For the energy, the calculation gives -3.4757 eV/atom. The energy of formation from the pure elements is -0.44 eV/atom.



[3]
DFT (PBE) results for crystalline Ba8SrAu6 at its relaxed geometry.

a = 8.2583 Å, b = 8.2583 Å, c = 33.8981 Å
α = 90.00°, β = 90.00°, γ = 120.00°
Space group R-3 (No. 148, hexagonal axes)
Asymmetric unit:
1 Ba 0.0000 0.0000 0.1667 x6
2 Ba 0.0001 0.3351 0.3911 x18
3 Sr 0.0000 0.0000 0.5000 x3
4 Au 0.0001 0.3267 0.5567 x18

Properties
For the energy, the calculation gives -3.0294 eV/atom. The energy of formation from the pure elements is -0.58 eV/atom.



[4]
DFT (PBE) results for crystalline Ba3Sr3Au4 at its relaxed geometry.

a = 4.673 Å, b = 12.315 Å, c = 12.446 Å
α = 90.00°, β = 90.00°, γ = 90.00°
Space group Amm2 (No. 38)
Asymmetric unit:
1 Ba 0.000 0.000 0.000 x2
2 Ba 0.000 0.160 0.655 x4
3 Sr 0.000 0.000 0.316 x2
4 Sr 0.500 0.248 0.405 x4
5 Au 0.500 0.000 0.507 x2
6 Au 0.500 0.000 0.797 x2
7 Au 0.500 0.133 0.161 x4

Properties
For the energy, the calculation gives -3.0207 eV/atom. The energy of formation from the pure elements is -0.63 eV/atom.



[5]
DFT (PBE) results for crystalline Ba4SrAu3 at its relaxed geometry.

a = 15.831 Å, b = 8.237 Å, c = 12.108 Å
α = 90.00°, β = 112.48°, γ = 90.00°
Space group Cc (No. 9)
Asymmetric unit:
1 Ba 0.000 0.161 0.000 x4
2 Ba 0.209 0.169 0.399 x4
3 Ba 0.310 0.336 0.092 x4
4 Ba 0.407 0.174 0.798 x4
5 Sr 0.101 0.329 0.697 x4
6 Au 0.014 0.009 0.753 x4
7 Au 0.293 0.497 0.835 x4
8 Au 0.410 0.001 0.051 x4

Properties
For the energy, the calculation gives -2.9725 eV/atom. The energy of formation from the pure elements is -0.57 eV/atom.



[6]
DFT (PBE) results for crystalline Ba3SrAu at its relaxed geometry.

a = 6.765 Å, b = 6.765 Å, c = 6.765 Å
α = 90.00°, β = 90.00°, γ = 90.00°
Space group Pm-3m (No. 221)
Asymmetric unit:
1 Ba 0.000 0.000 0.500 x3
2 Sr 0.000 0.000 0.000 x1
3 Au 0.500 0.500 0.500 x1

Properties
For the energy relative to the lowest polymorph listed for this composition, the calculation gives 1.039 eV/atom. For the energy, the calculation gives -1.4169 eV/atom. The energy of formation from the pure elements is 0.73 eV/atom.



[7]
DFT (PBE) results for crystalline Ba2Sr3Au at its relaxed geometry.

a = 6.3340 Å, b = 6.3340 Å, c = 8.1004 Å
α = 90.00°, β = 90.00°, γ = 120.00°
Space group P-6m2 (No. 187)
Asymmetric unit:
1 Ba 0.0000 0.0000 0.2370 x2
2 Sr 0.3333 0.6667 0.5000 x1
3 Sr 0.6667 0.3333 0.0000 x1
4 Sr 0.6667 0.3333 0.5000 x1
5 Au 0.3333 0.6667 0.0000 x1

Properties
For the energy, the calculation gives -2.0310 eV/atom. The energy of formation from the pure elements is 0.00 eV/atom.



[8]
DFT (PBE) results for crystalline BaSrAu2 at its relaxed geometry.

a = 7.892 Å, b = 7.892 Å, c = 7.892 Å
α = 90.00°, β = 90.00°, γ = 90.00°
Space group Fm-3m (No. 225)
Asymmetric unit:
1 Ba 0.000 0.000 0.000 x4
2 Sr 0.000 0.000 0.500 x4
3 Au 0.250 0.250 0.250 x8

Properties
For the energy relative to the lowest polymorph listed for this composition, the calculation gives 0.035 eV/atom. For the energy, the calculation gives -3.2383 eV/atom. The energy of formation from the pure elements is -0.70 eV/atom.



[9]
DFT (PBE) results for crystalline BaSr2Au at its relaxed geometry.

a = 8.307 Å, b = 8.307 Å, c = 8.307 Å
α = 90.00°, β = 90.00°, γ = 90.00°
Space group Fm-3m (No. 225)
Asymmetric unit:
1 Ba 0.000 0.000 0.000 x4
2 Sr 0.250 0.250 0.250 x8
3 Au 0.000 0.000 0.500 x4

Properties
For the energy relative to the lowest polymorph listed for this composition, the calculation gives 0.333 eV/atom. For the energy, the calculation gives -2.2203 eV/atom. The energy of formation from the pure elements is -0.08 eV/atom.